No. 1
A relaxed Tb2HoU crystal, computed with PBE.

Summary:
uncorrected energy = -23.347 eV for the cell shown

extended XYZ file:
```
4
Lattice="3.297 0.000 0.000 1.648 2.855 0.000 1.648 0.952 12.206" Properties=species:S:1:pos:R:3 pbc="T T T"
U 0.000 0.000 0.000
Tb 1.648 0.952 9.006
Tb 4.945 2.855 3.200
Ho 3.297 1.903 6.103
```

---

No. 2
A relaxed TbHo2V crystal, computed with PBE.

Summary:
uncorrected energy = -20.497 eV for the cell shown

extended XYZ file:
```
4
Lattice="-1.148 -2.847 1.370 2.147 -2.446 0.839 1.452 2.786 11.132" Properties=species:S:1:pos:R:3 pbc="T T T"
Tb 1.226 -1.253 6.671
Ho 1.274 -4.175 4.761
Ho 1.178 1.669 8.580
V 0.000 0.000 0.000
```

---

No. 3
A relaxed TbHoW crystal, computed with PBE.

Summary:
uncorrected energy = -43.188 eV for the cell shown

extended XYZ file:
```
6
Lattice="3.338 0.000 0.000 0.000 3.338 0.000 0.000 0.000 13.671" Properties=species:S:1:pos:R:3 pbc="T T T"
W 1.669 0.000 0.659
W 0.000 1.669 13.012
Ho 0.000 1.669 2.653
Tb 0.000 1.669 8.137
Tb 1.669 0.000 5.534
Ho 1.669 0.000 11.018
```

---

No. 4
A relaxed TbHoW4 crystal, computed with PBE.

Summary:
uncorrected energy = -60.096 eV for the cell shown

extended XYZ file:
```
6
Lattice="-4.302 -2.286 -2.647 0.522 -1.584 -5.288 0.082 -5.393 -1.283" Properties=species:S:1:pos:R:3 pbc="T T T"
W -2.572 -4.997 -3.117
Ho 0.000 0.000 0.000
Tb -0.925 -2.316 -2.304
W -2.353 -3.093 -5.119
W -0.161 -4.646 -4.438
W -2.312 -5.789 -5.761
```

---

No. 5
A relaxed TbY14Ho crystal, computed with PBE.

Summary:
uncorrected energy = -99.364 eV for the cell shown

extended XYZ file:
```
16
Lattice="-1.230 -3.956 -5.815 -3.884 -4.539 3.910 -8.267 5.410 -1.932" Properties=species:S:1:pos:R:3 pbc="T T T"
Ho -1.562 -4.029 -4.599
Y -8.433 -0.113 -3.620
Y -7.816 1.867 -0.711
Y -7.023 -1.616 -0.702
Y -7.637 -3.593 -3.610
Y -0.946 -2.050 -1.692
Y -5.613 -3.118 2.214
Y -10.376 -2.385 -1.664
Y -5.695 -1.324 -5.566
Y -4.285 -2.827 -2.651
Y -6.229 -5.098 -0.695
Y -9.760 -0.404 1.245
Y -3.669 -0.847 0.258
Tb -2.889 -4.321 0.262
Y -5.081 0.653 -2.658
Y -3.504 -6.300 -2.645
```

---

No. 6
A relaxed TbY6Ho4 crystal, computed with PBE.

Summary:
polymorph energy (0 for the lowest one) = 0.00 eV per formula unit

extended XYZ file:
```
22
Lattice="-1.399 -1.030 5.402 -3.838 -0.458 -4.062 6.239 -24.746 -3.104" Properties=species:S:1:pos:R:3 pbc="T T T"
Ho 4.629 -22.299 -0.074
Tb -2.061 -7.328 1.048
Y 3.870 -19.098 0.340
Tb 3.062 -18.906 -2.813
Y 1.258 -21.453 -0.786
Ho 3.020 -15.917 0.726
Y -2.956 -3.695 1.510
Y -0.700 -0.515 2.701
Y -0.257 -4.781 -0.979
Y 2.420 -12.888 1.149
Ho -2.019 -10.318 -2.491
Y 0.399 -18.047 -0.359
Ho 1.392 -11.647 -1.861
Ho 2.204 -24.880 -1.195
Y 3.956 -22.539 -3.275
Y -1.126 -10.953 0.599
Y -2.869 -7.136 -2.105
Ho -1.203 -1.354 -0.570
Y 2.127 -15.282 -2.364
Y 0.602 -8.187 -1.406
Ho -0.391 -14.587 0.096
Ho -3.628 -3.935 -1.691
```

---

No. 7
A relaxed TbY2Ho crystal, computed with PBE.

Summary:
polymorph energy (0 for the lowest one) = 0.08 eV per formula unit

extended XYZ file:
```
4
Lattice="-3.155 -1.036 -3.783 3.813 0.319 -3.267 0.912 -4.913 0.584" Properties=species:S:1:pos:R:3 pbc="T T T"
Tb 0.785 -2.815 -3.233
Y 0.456 -2.456 0.292
Ho -1.577 -0.518 -1.892
Y 1.906 0.160 -1.633
```

---

No. 8
A relaxed Tb2Y8Ho3 crystal, computed with PBE.

Summary:
uncorrected energy = -71.562 eV for the cell shown

extended XYZ file:
```
13
Lattice="5.571 0.000 0.785 0.000 7.607 0.000 -1.424 -3.803 10.060" Properties=species:S:1:pos:R:3 pbc="T T T"
Y 1.664 1.614 8.297
Ho 0.000 2.155 0.000
Y 1.664 -1.614 8.297
Y -0.474 3.803 3.387
Ho 2.785 0.000 0.392
Ho 0.000 5.452 0.000
Y 2.483 2.190 2.548
Tb 2.092 0.000 5.250
Tb 2.055 3.803 5.595
Y 2.483 5.417 2.548
Y 4.621 0.000 7.458
Y -1.044 3.803 7.386
Y 5.191 0.000 3.459
```

---

Repeat the seventh record exactly.
A relaxed TbY2Ho crystal, computed with PBE.

Summary:
polymorph energy (0 for the lowest one) = 0.08 eV per formula unit

extended XYZ file:
```
4
Lattice="-3.155 -1.036 -3.783 3.813 0.319 -3.267 0.912 -4.913 0.584" Properties=species:S:1:pos:R:3 pbc="T T T"
Tb 0.785 -2.815 -3.233
Y 0.456 -2.456 0.292
Ho -1.577 -0.518 -1.892
Y 1.906 0.160 -1.633
```